(1)
NaPd6Pb2 GGA-PBE relaxed; electronic total energy = -4.49 eV/atom; symmetry = C2/m, No. 12
1.0
3.071 0.000 -0.108
0.000 7.929 0.000
-1.250 -3.965 7.043
Na Pd Pb
1 6 2
Direct
0.000 0.000 0.000
0.166 0.364 0.330
0.834 0.034 0.670
0.834 0.636 0.670
0.500 0.311 0.000
0.166 0.966 0.330
0.500 0.689 0.000
0.669 0.669 0.338
0.331 0.331 0.662

***

(2)
NaPd2Pb8 GGA-PBE relaxed; energy above the lowest structure with this stoichiometry = 0.007 eV per atom; electronic total energy = -3.86 eV/atom; symmetry = C2/m, No. 12
1.0
2.184 -4.556 2.677
4.145 -10.855 -4.211
9.436 -7.481 -2.785
Na Pd Pb
1 2 8
Direct
0.000 0.000 0.000
0.809 0.265 0.265
0.191 0.735 0.735
0.742 0.125 0.632
0.258 0.368 0.875
0.465 0.214 0.214
0.535 0.786 0.786
0.742 0.632 0.125
0.258 0.875 0.368
0.136 0.413 0.413
0.864 0.587 0.587

***

(3)
NaPdPb2 GGA-PBE relaxed; electronic total energy = -3.65 eV/atom; symmetry = R-3m, No. 166
1.0
-0.972 -4.598 -0.256
2.869 -2.884 -2.368
3.503 -3.353 3.650
Pb Na Pd
2 1 1
Direct
0.273 0.273 0.182
0.727 0.727 0.818
0.500 0.500 0.500
0.000 0.000 0.000

***

(4)
Na2PdPb GGA-PBE relaxed; electronic total energy = -3.10 eV/atom; symmetry = Cm, No. 8
1.0
4.814 0.000 1.348
2.073 5.473 1.867
0.313 0.224 8.154
Na Pd Pb
4 2 2
Direct
0.183 0.290 0.345
0.818 0.839 0.525
0.454 0.389 0.703
0.818 0.340 0.024
0.037 0.792 0.133
0.597 0.888 0.918
0.142 0.950 0.767
0.494 0.728 0.284

***

(5)
Na2Pd5Pb2 GGA-PBE relaxed; electronic total energy = -4.15 eV/atom; symmetry = Ima2, No. 46
1.0
6.785 0.000 0.000
0.000 7.964 0.000
-3.392 -3.982 6.870
Na Pd Pb
4 10 4
Direct
0.110 0.638 0.255
0.890 0.382 0.745
0.646 0.138 0.255
0.354 0.882 0.745
0.140 0.753 0.907
0.860 0.846 0.093
0.267 0.253 0.907
0.733 0.346 0.093
0.311 0.988 0.301
0.689 0.687 0.699
0.490 0.488 0.301
0.510 0.187 0.699
0.944 0.553 0.500
0.056 0.053 0.500
0.000 0.105 0.000
0.500 0.605 0.000
0.293 0.383 0.500
0.707 0.883 0.500

***

(6)
Na3Pd5Pb2 GGA-PBE relaxed; electronic total energy = -3.78 eV/atom; symmetry = Ibam, No. 72
1.0
5.664 0.000 0.000
2.832 8.879 -1.232
2.832 1.168 8.888
Na Pd Pb
6 10 4
Direct
0.250 0.000 0.000
0.750 0.000 0.000
0.412 0.395 0.780
0.588 0.605 0.220
0.912 0.780 0.395
0.088 0.220 0.605
0.250 0.500 0.500
0.750 0.500 0.500
0.488 0.762 0.762
0.012 0.238 0.238
0.512 0.238 0.238
0.988 0.762 0.762
0.133 0.494 0.239
0.867 0.506 0.761
0.633 0.239 0.494
0.367 0.761 0.506
0.163 0.668 0.005
0.837 0.332 0.995
0.663 0.005 0.668
0.337 0.995 0.332

***

(7)
NaPd5Pb6 GGA-PBE relaxed; electronic total energy = -4.29 eV/atom; symmetry = C2/m, No. 12
1.0
-7.551 2.367 -2.296
-1.215 -2.302 -5.451
-2.906 -5.999 -0.166
Na Pd Pb
1 5 6
Direct
0.000 0.000 0.000
0.500 0.117 0.766
0.000 0.301 0.398
0.500 0.500 0.000
0.000 0.699 0.602
0.500 0.883 0.234
0.702 0.093 0.380
0.298 0.528 0.380
0.216 0.334 0.000
0.784 0.666 0.000
0.702 0.472 0.620
0.298 0.907 0.620

***

(8)
Na2PdPb4 GGA-PBE relaxed; energy above the lowest structure with this stoichiometry = 0.000 eV per atom; electronic total energy = -3.18 eV/atom; symmetry = I4/mmm, No. 139
1.0
-4.220 -1.818 -2.755
3.299 -2.216 -3.592
-0.341 -8.828 1.138
Pb Na Pd
4 2 1
Direct
0.174 0.174 0.651
0.826 0.826 0.349
0.000 0.500 0.000
0.500 0.000 0.000
0.367 0.367 0.265
0.633 0.633 0.735
0.000 0.000 0.000

***

(9)
Na2Pd2Pb GGA-PBE relaxed; energy above the lowest structure with this stoichiometry = 0.011 eV per atom; electronic total energy = -3.54 eV/atom; symmetry = Immm, No. 71
1.0
4.504 0.000 0.000
0.000 5.765 0.000
-2.252 -2.883 4.448
Na Pd Pb
2 2 1
Direct
0.802 0.302 0.604
0.198 0.698 0.396
0.500 0.735 0.000
0.500 0.265 0.000
0.000 0.000 0.000

***

(10)
NaPd2Pb2 GGA-PBE relaxed; energy above the lowest structure with this stoichiometry = 0.071 eV per atom; electronic total energy = -4.00 eV/atom; symmetry = I4/mmm, No. 139
1.0
-1.139 3.943 -0.212
-1.292 -0.163 3.897
5.301 3.892 4.086
Pb Na Pd
2 1 2
Direct
0.381 0.381 0.238
0.619 0.619 0.762
0.000 0.000 0.000
0.750 0.250 0.500
0.250 0.750 0.500

***

(11)
Na2PdPb GGA-PBE relaxed; electronic total energy = -3.02 eV/atom; symmetry = P4/mmm, No. 123
1.0
4.986 0.000 0.000
0.000 4.264 0.000
0.000 0.000 4.264
Pb Na Pd
1 2 1
Direct
0.500 0.500 0.500
0.000 0.000 0.500
0.000 0.500 0.000
0.500 0.000 0.000

***

(12)
Na2PdPb3 GGA-PBE relaxed; electronic total energy = -3.22 eV/atom; symmetry = Cmmm, No. 65
1.0
-2.601 1.672 -1.390
-2.780 -5.024 -0.839
-2.441 3.280 8.513
Na Pd Pb
2 1 3
Direct
0.500 0.306 0.612
0.500 0.694 0.388
0.000 0.000 0.000
0.500 0.877 0.754
0.500 0.123 0.246
0.000 0.500 0.000